(1)
The following is a DFT calculation (PBE) of crystalline MgAl2Tl at its relaxed geometry.

Calculated values
total moment: 0.000 μB per cell
crystal system: tetragonal
density of states at the Fermi level: 0.462 states/eV/atom
ΔH_f (0 K): 0.34 eV per atom

The structure in CIF format:
```
data_MgAl2Tl
_chemical_formula_sum 'Mg4 Al8 Tl4'
_cell_length_a 8.090
_cell_length_b 8.090
_cell_length_c 5.746
_cell_angle_alpha 90.00
_cell_angle_beta 90.00
_cell_angle_gamma 90.00
_space_group_name_H-M_alt 'I -4 2 d'
_space_group_IT_number 122
_space_group_name_Hall 'I -4 2bw'
loop_
_atom_site_label
_atom_site_type_symbol
_atom_site_fract_x
_atom_site_fract_y
_atom_site_fract_z
Mg1 Mg 0.000 0.000 0.000
Al1 Al 0.244 0.250 0.625
Tl1 Tl 0.000 0.000 0.500
```



(2)
The following is a DFT calculation (PBE) of crystalline CePu2Hg2Pb2 at its relaxed geometry.

Calculated values
total moment: 40.690 μB per cell
crystal system: trigonal
density of states at the Fermi level: 2.545 states/eV/atom
ΔH_f (0 K): -0.11 eV per atom

The structure in CIF format:
```
data_CePu2Hg2Pb2
_chemical_formula_sum 'Ce3 Pu6 Hg6 Pb6'
_cell_length_a 5.1699
_cell_length_b 5.1699
_cell_length_c 25.3689
_cell_angle_alpha 90.00
_cell_angle_beta 90.00
_cell_angle_gamma 120.00
_space_group_name_H-M_alt 'R -3 m'
_space_group_IT_number 166
_space_group_name_Hall '-R 3 2"'
loop_
_atom_site_label
_atom_site_type_symbol
_atom_site_fract_x
_atom_site_fract_y
_atom_site_fract_z
Ce1 Ce 0.0000 0.0000 0.0000
Pu1 Pu 0.0000 0.0000 0.1405
Hg1 Hg 0.0000 0.0000 0.4343
Pb1 Pb 0.0000 0.0000 0.2720
```



(3)
The following is a DFT calculation (PBE) of crystalline CsKTlF6 at its relaxed geometry.

Calculated values
total moment: 4.115 μB per cell
total energy: -34.2 eV per formula unit
crystal system: orthorhombic
density of states at the Fermi level: 1.116 states/eV/atom

The structure in CIF format:
```
data_CsKTlF6
_chemical_formula_sum 'Cs4 K4 Tl4 F24'
_cell_length_a 8.155
_cell_length_b 8.438
_cell_length_c 11.206
_cell_angle_alpha 90.00
_cell_angle_beta 90.00
_cell_angle_gamma 90.00
_space_group_name_H-M_alt 'I m m a'
_space_group_IT_number 74
_space_group_name_Hall '-I 2b 2'
loop_
_atom_site_label
_atom_site_type_symbol
_atom_site_fract_x
_atom_site_fract_y
_atom_site_fract_z
Cs1 Cs 0.000 0.250 0.155
K1 K 0.250 0.250 0.750
Tl1 Tl 0.000 0.000 0.500
F1 F 0.000 0.250 0.576
F2 F 0.000 0.250 0.893
F3 F 0.181 0.046 0.368
```